A relaxed CdFeBi2O6 crystal. Source: the Alexandria database, functional PBE with a Hubbard U.

Calculated values
Its crystal system is monoclinic. Its magnetization is 3.97 μB/cell. The calculation puts the total energy at -54.762 eV per formula unit.

a = 5.429 Å, b = 6.131 Å, c = 9.677 Å
α = 90.00°, β = 123.65°, γ = 90.00°
Positions (direct):
Cd 0.000 0.000 0.000
Cd 0.000 0.500 0.500
Fe 0.500 0.000 0.500
Fe 0.500 0.500 0.000
Bi 0.215 0.059 0.726
Bi 0.215 0.441 0.226
Bi 0.785 0.559 0.774
Bi 0.785 0.941 0.274
O 0.166 0.160 0.479
O 0.166 0.340 0.979
O 0.244 0.743 0.419
O 0.244 0.757 0.919
O 0.382 0.071 0.273
O 0.382 0.429 0.773
O 0.618 0.571 0.227
O 0.618 0.929 0.727
O 0.756 0.243 0.081
O 0.756 0.257 0.581
O 0.834 0.660 0.021
O 0.834 0.840 0.521


A relaxed Cd2FeBiO6 crystal. Source: the Alexandria database, functional PBE with a Hubbard U.

Calculated values
Its crystal system is monoclinic. Its magnetization is 9.92 μB/cell. The calculation puts the total energy at -51.812 eV per formula unit.

a = 5.555 Å, b = 5.670 Å, c = 9.737 Å
α = 90.00°, β = 124.18°, γ = 90.00°
Positions (direct):
Cd 0.234 0.048 0.247
Cd 0.234 0.452 0.747
Cd 0.766 0.548 0.253
Cd 0.766 0.952 0.753
Fe 0.000 0.000 0.500
Fe 0.000 0.500 0.000
Bi 0.500 0.000 0.000
Bi 0.500 0.500 0.500
O 0.125 0.207 0.938
O 0.125 0.293 0.438
O 0.234 0.692 0.937
O 0.234 0.808 0.437
O 0.361 0.054 0.745
O 0.361 0.446 0.245
O 0.639 0.554 0.755
O 0.639 0.946 0.255
O 0.766 0.192 0.563
O 0.766 0.308 0.063
O 0.875 0.707 0.562
O 0.875 0.793 0.062


A relaxed CdFeBiO4 crystal. Source: the Alexandria database, functional PBE with a Hubbard U.

Calculated values
Its crystal system is orthorhombic. Its magnetization is 9.99 μB/cell. The calculation puts the total energy at -38.672 eV per formula unit.

a = 5.776 Å, b = 5.776 Å, c = 7.056 Å
α = 90.00°, β = 90.00°, γ = 114.55°
Positions (direct):
Cd 0.168 0.832 0.750
Cd 0.832 0.168 0.250
Fe 0.150 0.850 0.250
Fe 0.850 0.150 0.750
Bi 0.500 0.500 0.000
Bi 0.500 0.500 0.500
O 0.219 0.256 0.750
O 0.256 0.219 0.250
O 0.260 0.740 0.031
O 0.260 0.740 0.469
O 0.740 0.260 0.531
O 0.740 0.260 0.969
O 0.744 0.781 0.750
O 0.781 0.744 0.250